LiLa2WO6 | PBE with a Hubbard U | relaxed

Output
The value obtained for the total energy is -77.10 eV per formula unit. The value obtained for the magnetization is 2.0 Bohr magnetons per cell.

a = 5.6625 Å, b = 5.7972 Å, c = 9.7637 Å
α = 90.00°, β = 124.18°, γ = 90.00°
Space group P2_1/c (No. 14)
Symmetry-distinct sites (fractional):
Li 0.0000 0.0000 0.0000 x2
La 0.2328 0.0580 0.7443 x4
W 0.5000 0.0000 0.5000 x2
O 0.1567 0.1883 0.4505 x4
O 0.2637 0.7207 0.4443 x4
O 0.3585 0.0332 0.2572 x4